## MnAgB3 (PBE)

Data for a relaxed structure of MnAgB3.

```
5
Lattice="3.8542 0.0000 0.0000 0.0000 3.8542 0.0000 0.0000 0.0000 3.8542" Properties=species:S:1:pos:R:3 pbc="T T T"
Mn 0.0000 0.0000 0.0000
Ag 1.9271 1.9271 1.9271
B 0.0000 0.0000 1.9271
B 0.0000 1.9271 0.0000
B 1.9271 0.0000 0.0000
```

Total energy = -5.467 eV per atom
SG = No. 221
Total moment = 0.00 μB per formula unit
DOS at the Fermi energy = 2.34 states/eV/cell
Offset from the most stable computed form = 0.0 kJ/mol of atoms